First-principles (PBE) data for a relaxed structure of Tl2ZnTc, as listed in the Alexandria database.

```
4
Lattice="0.000 3.417 3.417 3.417 0.000 3.417 3.417 3.417 0.000" Properties=species:S:1:pos:R:3 pbc="T T T"
Tl 1.709 1.709 1.709
Tl 5.126 5.126 5.126
Zn 0.000 0.000 0.000
Tc 3.417 3.417 3.417
```

Formation energy in eV per formula unit: 3.13
VASP energy in eV per cell: -13.2
Crystal system: cubic
Spin magnetization in μB/f.u.: 0.00
SG: Fm-3m, No. 225
DOS at the Fermi energy in states/eV per atom: 1.134

First-principles (PBE) data for a relaxed structure of Tl3ZnTc, as listed in the Alexandria database.

```
5
Lattice="5.242 0.000 0.000 0.000 5.242 0.000 0.000 0.000 5.242" Properties=species:S:1:pos:R:3 pbc="T T T"
Tl 0.000 0.000 2.621
Tl 0.000 2.621 0.000
Tl 2.621 0.000 0.000
Zn 0.000 0.000 0.000
Tc 2.621 2.621 2.621
```

Formation energy in eV per formula unit: 5.39
VASP energy in eV per cell: -13.3
Crystal system: cubic
Spin magnetization in μB/f.u.: 3.78
SG: Pm-3m, No. 221
DOS at the Fermi energy in states/eV per atom: 0.708

First-principles (PBE) data for a relaxed structure of TlZn2Tc, as listed in the Alexandria database.

```
4
Lattice="5.046 -1.601 0.000 5.046 1.601 0.000 -1.517 0.000 4.323" Properties=species:S:1:pos:R:3 pbc="T T T"
Tl 0.000 0.000 0.000
Zn 1.217 0.000 3.052
Zn 7.358 0.000 1.271
Tc 4.287 0.000 2.161
```

Formation energy in eV per formula unit: 1.41
VASP energy in eV per cell: -13.9
Crystal system: monoclinic
Spin magnetization in μB/f.u.: 0.48
SG: C2/m, No. 12
DOS at the Fermi energy in states/eV per atom: 0.440

First-principles (PBE) data for a relaxed structure of Tl2ZnTc, as listed in the Alexandria database.

```
8
Lattice="-3.842 3.842 2.946 3.842 -3.842 2.946 3.842 3.842 -2.946" Properties=species:S:1:pos:R:3 pbc="T T T"
Tl 5.763 1.883 -0.737
Tl 1.883 1.921 0.737
Tl -1.921 1.959 2.210
Tl 1.959 1.921 3.683
Zn 0.000 0.000 0.000
Zn 0.000 3.842 1.473
Tc 3.842 0.000 1.473
Tc 0.000 0.000 2.946
```

Formation energy in eV per formula unit: 3.26
VASP energy in eV per cell: -26.2
Crystal system: tetragonal
Spin magnetization in μB/f.u.: 1.73
SG: I-42d, No. 122
DOS at the Fermi energy in states/eV per atom: 1.028

First-principles (PBE) data for a relaxed structure of TlZn2Tc, as listed in the Alexandria database.

```
4
Lattice="3.423 0.000 0.000 0.000 3.423 0.000 0.000 0.000 5.918" Properties=species:S:1:pos:R:3 pbc="T T T"
Tl 0.000 0.000 0.000
Zn 1.712 1.712 1.748
Zn 1.712 1.712 4.170
Tc 0.000 0.000 2.959
```

Formation energy in eV per formula unit: 1.31
VASP energy in eV per cell: -14.0
Crystal system: tetragonal
Spin magnetization in μB/f.u.: 0.00
SG: P4/mmm, No. 123
DOS at the Fermi energy in states/eV per atom: 0.849

First-principles (PBE) data for a relaxed structure of Tl2ZnTc, as listed in the Alexandria database.

```
4
Lattice="5.605 -1.553 0.000 5.605 1.553 0.000 -1.531 0.000 4.725" Properties=species:S:1:pos:R:3 pbc="T T T"
Tl 0.000 0.000 0.000
Tl 1.394 0.000 3.019
Zn 4.146 0.000 2.109
Tc 8.141 0.000 0.720
```

Formation energy in eV per formula unit: 2.00
VASP energy in eV per cell: -14.4
Crystal system: monoclinic
Spin magnetization in μB/f.u.: 1.25
SG: Cm, No. 8
DOS at the Fermi energy in states/eV per atom: 0.444

First-principles (PBE) data for a relaxed structure of TlZnTc2, as listed in the Alexandria database.

```
4
Lattice="2.784 -4.662 0.000 2.784 4.662 0.000 -1.215 0.000 2.574" Properties=species:S:1:pos:R:3 pbc="T T T"
Tl 0.000 0.000 0.000
Zn 2.784 0.000 0.000
Tc 0.784 2.331 1.287
Tc 0.784 -2.331 1.287
```

Formation energy in eV per formula unit: 2.49
VASP energy in eV per cell: -21.9
Crystal system: monoclinic
Spin magnetization in μB/f.u.: 0.00
SG: C2/m, No. 12
DOS at the Fermi energy in states/eV per atom: 1.112

First-principles (PBE) data for a relaxed structure of Tl3ZnTc, as listed in the Alexandria database.

```
5
Lattice="5.349 0.000 0.000 0.000 5.349 0.000 0.000 0.000 5.349" Properties=species:S:1:pos:R:3 pbc="T T T"
Tl 0.000 0.000 2.675
Tl 0.000 2.675 0.000
Tl 2.675 0.000 0.000
Zn 2.675 2.675 2.675
Tc 0.000 0.000 0.000
```

Formation energy in eV per formula unit: 2.68
VASP energy in eV per cell: -16.1
Crystal system: cubic
Spin magnetization in μB/f.u.: 0.00
SG: Pm-3m, No. 221
DOS at the Fermi energy in states/eV per atom: 0.728